The following is a DFT calculation (GGA-PBE) of crystalline Rb2AgWSe4 at its relaxed geometry.

Results
- energy relative to the elements, uncorrected (eV/atom) = -0.635
- space group = Fddd
- size of the total moment (μB per formula unit) = 1.04
- VASP energy (eV/f.u.) = -36.8

```
data_Rb2AgWSe4
_cell_length_a 14.359
_cell_length_b 12.793
_cell_length_c 7.783
_cell_angle_alpha 84.80
_cell_angle_beta 62.53
_cell_angle_gamma 32.67
_space_group_name_H-M_alt 'P 1'
_space_group_IT_number 1
loop_
_space_group_symop_operation_xyz
'x,y,z'
loop_
_atom_site_label
_atom_site_type_symbol
_atom_site_fract_x
_atom_site_fract_y
_atom_site_fract_z
Rb1 Rb 0.056 0.056 0.694
Rb2 Rb 0.306 0.306 0.944
Rb3 Rb 0.694 0.694 0.056
Rb4 Rb 0.944 0.944 0.306
Ag1 Ag 0.125 0.125 0.125
Ag2 Ag 0.875 0.875 0.875
W1 W 0.375 0.375 0.375
W2 W 0.625 0.625 0.625
Se1 Se 0.002 0.633 0.547
Se2 Se 0.318 0.547 0.633
Se3 Se 0.367 0.998 0.682
Se4 Se 0.453 0.682 0.998
Se5 Se 0.547 0.318 0.002
Se6 Se 0.633 0.002 0.318
Se7 Se 0.682 0.453 0.367
Se8 Se 0.998 0.367 0.453
```

The following is a DFT calculation (GGA-PBE) of crystalline AcDyIn2Au4 at its relaxed geometry.

Results
- space group = R-3m
- size of the total moment (μB per formula unit) = 0.00
- energy of formation from the pure elements (meV/atom) = -679
- VASP energy (eV/f.u.) = -32.7

```
data_AcDyIn2Au4
_cell_length_a 9.444
_cell_length_b 9.444
_cell_length_c 9.444
_cell_angle_alpha 30.26
_cell_angle_beta 30.26
_cell_angle_gamma 30.26
_space_group_name_H-M_alt 'P 1'
_space_group_IT_number 1
loop_
_space_group_symop_operation_xyz
'x,y,z'
loop_
_atom_site_label
_atom_site_type_symbol
_atom_site_fract_x
_atom_site_fract_y
_atom_site_fract_z
Ac1 Ac 0.000 0.000 0.000
Dy1 Dy 0.500 0.500 0.500
In1 In 0.243 0.243 0.243
In2 In 0.757 0.757 0.757
Au1 Au 0.130 0.130 0.130
Au2 Au 0.390 0.390 0.390
Au3 Au 0.610 0.610 0.610
Au4 Au 0.870 0.870 0.870
```

The following is a DFT calculation (GGA-PBE) of crystalline ScMo5 at its relaxed geometry.

Results
- space group = P4/mmm
- size of the total moment (μB per formula unit) = 0.00
- distance to the lowest polymorph of the same formula (meV/atom) = 36.0
- energy of formation from the pure elements (meV/atom) = 25
- VASP energy (eV/f.u.) = -60.3

```
data_ScMo5
_cell_length_a 3.176
_cell_length_b 3.176
_cell_length_c 9.870
_cell_angle_alpha 90.00
_cell_angle_beta 90.00
_cell_angle_gamma 90.00
_space_group_name_H-M_alt 'P 1'
_space_group_IT_number 1
loop_
_space_group_symop_operation_xyz
'x,y,z'
loop_
_atom_site_label
_atom_site_type_symbol
_atom_site_fract_x
_atom_site_fract_y
_atom_site_fract_z
Sc1 Sc 0.000 0.000 0.000
Mo1 Mo 0.000 0.000 0.338
Mo2 Mo 0.000 0.000 0.662
Mo3 Mo 0.500 0.500 0.187
Mo4 Mo 0.500 0.500 0.500
Mo5 Mo 0.500 0.500 0.813
```

The following is a DFT calculation (GGA-PBE) of crystalline Y4Ir2I5 at its relaxed geometry.

Results
- energy relative to the elements, uncorrected (eV/atom) = -0.950
- space group = C2/m
- size of the total moment (μB per formula unit) = 0.00
- VASP energy (eV/f.u.) = -61.8

```
data_Y4Ir2I5
_cell_length_a 12.274
_cell_length_b 12.274
_cell_length_c 8.335
_cell_angle_alpha 90.03
_cell_angle_beta 90.03
_cell_angle_gamma 19.39
_space_group_name_H-M_alt 'P 1'
_space_group_IT_number 1
loop_
_space_group_symop_operation_xyz
'x,y,z'
loop_
_atom_site_label
_atom_site_type_symbol
_atom_site_fract_x
_atom_site_fract_y
_atom_site_fract_z
Y1 Y 0.031 0.031 0.196
Y2 Y 0.342 0.342 0.939
Y3 Y 0.658 0.658 0.061
Y4 Y 0.969 0.969 0.804
Ir1 Ir 0.447 0.447 0.010
Ir2 Ir 0.553 0.553 0.990
I1 I 0.153 0.153 0.342
I2 I 0.204 0.204 0.821
I3 I 0.500 0.500 0.500
I4 I 0.796 0.796 0.179
I5 I 0.847 0.847 0.658
```

The following is a DFT calculation (GGA-PBE) of crystalline CoNiIr2Cl at its relaxed geometry.

Results
- energy relative to the elements, uncorrected (eV/atom) = 1.387
- space group = P4/mmm
- size of the total moment (μB per formula unit) = 3.28
- VASP energy (eV/f.u.) = -25.5

```
data_CoNiIr2Cl
_cell_length_a 4.424
_cell_length_b 4.424
_cell_length_c 4.037
_cell_angle_alpha 90.00
_cell_angle_beta 90.00
_cell_angle_gamma 90.00
_space_group_name_H-M_alt 'P 1'
_space_group_IT_number 1
loop_
_space_group_symop_operation_xyz
'x,y,z'
loop_
_atom_site_label
_atom_site_type_symbol
_atom_site_fract_x
_atom_site_fract_y
_atom_site_fract_z
Co1 Co 0.000 0.000 0.000
Ni1 Ni 0.500 0.500 0.000
Ir1 Ir 0.000 0.500 0.500
Ir2 Ir 0.500 0.000 0.500
Cl1 Cl 0.500 0.500 0.500
```

The following is a DFT calculation (GGA-PBE) of crystalline Zr2VPd2 at its relaxed geometry.

Results
- space group = P4/mbm
- size of the total moment (μB per formula unit) = 1.29
- distance to the lowest polymorph of the same formula (meV/atom) = 147.5
- energy of formation from the pure elements (meV/atom) = -140
- VASP energy (eV/f.u.) = -37.3

```
data_Zr2VPd2
_cell_length_a 7.651
_cell_length_b 7.651
_cell_length_c 3.239
_cell_angle_alpha 90.00
_cell_angle_beta 90.00
_cell_angle_gamma 90.00
_space_group_name_H-M_alt 'P 1'
_space_group_IT_number 1
loop_
_space_group_symop_operation_xyz
'x,y,z'
loop_
_atom_site_label
_atom_site_type_symbol
_atom_site_fract_x
_atom_site_fract_y
_atom_site_fract_z
Zr1 Zr 0.166 0.334 0.000
Zr2 Zr 0.334 0.834 0.000
Zr3 Zr 0.666 0.166 0.000
Zr4 Zr 0.834 0.666 0.000
V1 V 0.000 0.000 0.000
V2 V 0.500 0.500 0.000
Pd1 Pd 0.133 0.633 0.500
Pd2 Pd 0.367 0.133 0.500
Pd3 Pd 0.633 0.867 0.500
Pd4 Pd 0.867 0.367 0.500
```

The following is a DFT calculation (GGA-PBE) of crystalline Y3TaI at its relaxed geometry.

Results
- energy relative to the elements, uncorrected (eV/atom) = 0.502
- space group = Pm-3m
- size of the total moment (μB per formula unit) = 0.00
- distance to the lowest polymorph of the same formula (meV/atom) = 0.0
- VASP energy (eV/f.u.) = -30.3

```
data_Y3TaI
_cell_length_a 5.589
_cell_length_b 5.589
_cell_length_c 5.589
_cell_angle_alpha 90.00
_cell_angle_beta 90.00
_cell_angle_gamma 90.00
_space_group_name_H-M_alt 'P 1'
_space_group_IT_number 1
loop_
_space_group_symop_operation_xyz
'x,y,z'
loop_
_atom_site_label
_atom_site_type_symbol
_atom_site_fract_x
_atom_site_fract_y
_atom_site_fract_z
Y1 Y 0.000 0.000 0.500
Y2 Y 0.000 0.500 0.000
Y3 Y 0.500 0.000 0.000
Ta1 Ta 0.000 0.000 0.000
I1 I 0.500 0.500 0.500
```

The following is a DFT calculation (GGA-PBE) of crystalline BaCa2Mg9 at its relaxed geometry.

Results
- space group = R-3m
- size of the total moment (μB per formula unit) = 0.00
- energy of formation from the pure elements (meV/atom) = -86
- VASP energy (eV/f.u.) = -21.3

```
data_BaCa2Mg9
_cell_length_a 10.714
_cell_length_b 10.714
_cell_length_c 10.714
_cell_angle_alpha 34.16
_cell_angle_beta 34.16
_cell_angle_gamma 34.16
_space_group_name_H-M_alt 'P 1'
_space_group_IT_number 1
loop_
_space_group_symop_operation_xyz
'x,y,z'
loop_
_atom_site_label
_atom_site_type_symbol
_atom_site_fract_x
_atom_site_fract_y
_atom_site_fract_z
Ba1 Ba 0.000 0.000 0.000
Ca1 Ca 0.145 0.145 0.145
Ca2 Ca 0.855 0.855 0.855
Mg1 Mg 0.081 0.586 0.586
Mg2 Mg 0.334 0.334 0.334
Mg3 Mg 0.414 0.414 0.919
Mg4 Mg 0.414 0.919 0.414
Mg5 Mg 0.500 0.500 0.500
Mg6 Mg 0.586 0.081 0.586
Mg7 Mg 0.586 0.586 0.081
Mg8 Mg 0.666 0.666 0.666
Mg9 Mg 0.919 0.414 0.414
```

The following is a DFT calculation (GGA-PBE) of crystalline NdZn3AgPd at its relaxed geometry.

Results
- space group = Cmcm
- size of the total moment (μB per formula unit) = 0.00
- energy of formation from the pure elements (meV/atom) = -183
- VASP energy (eV/f.u.) = -17.7

```
data_NdZn3AgPd
_cell_length_a 6.955
_cell_length_b 6.955
_cell_length_c 5.585
_cell_angle_alpha 90.00
_cell_angle_beta 90.00
_cell_angle_gamma 109.65
_space_group_name_H-M_alt 'P 1'
_space_group_IT_number 1
loop_
_space_group_symop_operation_xyz
'x,y,z'
loop_
_atom_site_label
_atom_site_type_symbol
_atom_site_fract_x
_atom_site_fract_y
_atom_site_fract_z
Nd1 Nd 0.199 0.801 0.750
Nd2 Nd 0.801 0.199 0.250
Zn1 Zn 0.248 0.248 0.000
Zn2 Zn 0.248 0.248 0.500
Zn3 Zn 0.334 0.666 0.250
Zn4 Zn 0.666 0.334 0.750
Zn5 Zn 0.752 0.752 0.000
Zn6 Zn 0.752 0.752 0.500
Ag1 Ag 0.095 0.905 0.250
Ag2 Ag 0.905 0.095 0.750
Pd1 Pd 0.440 0.560 0.750
Pd2 Pd 0.560 0.440 0.250
```

The following is a DFT calculation (GGA-PBE) of crystalline Nd2Tm3Pb4 at its relaxed geometry.

Results
- space group = P2_1/c
- size of the total moment (μB per formula unit) = 0.00
- distance to the lowest polymorph of the same formula (meV/atom) = 0.0
- energy of formation from the pure elements (meV/atom) = -568
- VASP energy (eV/f.u.) = -42.9

```
data_Nd2Tm3Pb4
_cell_length_a 8.421
_cell_length_b 8.377
_cell_length_c 8.166
_cell_angle_alpha 90.00
_cell_angle_beta 111.60
_cell_angle_gamma 90.00
_space_group_name_H-M_alt 'P 1'
_space_group_IT_number 1
loop_
_space_group_symop_operation_xyz
'x,y,z'
loop_
_atom_site_label
_atom_site_type_symbol
_atom_site_fract_x
_atom_site_fract_y
_atom_site_fract_z
Nd1 Nd 0.193 0.179 0.056
Nd2 Nd 0.193 0.321 0.556
Nd3 Nd 0.807 0.679 0.444
Nd4 Nd 0.807 0.821 0.944
Tm1 Tm 0.245 0.658 0.238
Tm2 Tm 0.245 0.842 0.738
Tm3 Tm 0.500 0.000 0.500
Tm4 Tm 0.500 0.500 0.000
Tm5 Tm 0.755 0.158 0.262
Tm6 Tm 0.755 0.342 0.762
Pb1 Pb 0.087 0.543 0.832
Pb2 Pb 0.087 0.957 0.332
Pb3 Pb 0.494 0.141 0.859
Pb4 Pb 0.494 0.359 0.359
Pb5 Pb 0.506 0.641 0.641
Pb6 Pb 0.506 0.859 0.141
Pb7 Pb 0.913 0.043 0.668
Pb8 Pb 0.913 0.457 0.168
```

Question: What is the formula in the fourth record?
Answer: Y4Ir2I5

Question: Look up the VASP energy of the sixth one.
Answer: -37.3 eV/f.u.

Question: Which formula does entry 3 have?
Answer: ScMo5